DFT (PBE) results for a relaxed structure of Cs2BiAsO6.

Summary:
size of the total moment	0.0	μB/f.u.
electronic total energy	-5.21	eV/atom
symmetry	No. 164
volume	212.8	Å³ per cell

Cell: 6.7022 6.7022 5.4703 Å, 90.00 90.00 120.00°
Last column: nearest neighbours and their distance in Å.
Fractional positions:
Cs  0.3333  0.6667  0.3323  9 O 3.16-3.39
Cs  0.6667  0.3333  0.6677  9 O 3.16-3.39
Bi  0.0000  0.0000  0.0000  6 O 2.17
As  0.0000  0.0000  0.5000  6 O 1.91
O  0.1297  0.2593  0.7153  1 As 1.91
O  0.1297  0.8703  0.7153  1 As 1.91
O  0.2593  0.1297  0.2847  1 As 1.91
O  0.7407  0.8703  0.7153  1 As 1.91
O  0.8703  0.1297  0.2847  1 As 1.91
O  0.8703  0.7407  0.2847  1 As 1.91


DFT (PBE) results for a relaxed structure of Cs2BiAs2O6.

Summary:
size of the total moment	0.0	μB/f.u.
electronic total energy	-5.42	eV/atom
symmetry	No. 12
volume	231.4	Å³ per cell

Cell: 6.2589 6.2589 7.8353 Å, 114.99 114.99 59.66°
Last column: nearest neighbours and their distance in Å.
Fractional positions:
Cs  0.2184  0.2184  0.1910  6 O 3.14-3.28
Cs  0.7816  0.7816  0.8090  6 O 3.14-3.28
Bi  0.0000  0.0000  0.5000  6 O 2.37-2.38
As  0.4372  0.4372  0.7816  3 O 1.77-1.78
As  0.5628  0.5628  0.2184  3 O 1.77-1.78
O  0.2505  0.2505  0.6634  1 As 1.77
O  0.2660  0.7322  0.7158  1 As 1.78
O  0.2678  0.7340  0.2842  1 As 1.78
O  0.7322  0.2660  0.7158  1 As 1.78
O  0.7340  0.2678  0.2842  1 As 1.78
O  0.7495  0.7495  0.3366  1 As 1.77


DFT (PBE) results for a relaxed structure of CsBiAs2O6.

Summary:
size of the total moment	0.0	μB/f.u.
electronic total energy	-5.60	eV/atom
symmetry	No. 15
volume	362.4	Å³ per cell

Cell: 7.5398 7.5398 6.9640 Å, 106.74 106.74 88.33°
Last column: nearest neighbours and their distance in Å.
Fractional positions:
Cs  0.0429  0.9571  0.7500  6 O 2.93-3.16
Cs  0.9571  0.0429  0.2500  6 O 2.93-3.16
Bi  0.3488  0.6512  0.2500  4 O 2.24-2.36
Bi  0.6512  0.3488  0.7500  4 O 2.24-2.36
As  0.1078  0.4520  0.6769  3 O 1.71-1.75
As  0.4520  0.1078  0.1769  3 O 1.71-1.75
As  0.5480  0.8922  0.8231  3 O 1.71-1.75
As  0.8922  0.5480  0.3231  3 O 1.71-1.75
O  0.0572  0.6693  0.2700  1 As 1.75
O  0.2049  0.6347  0.8964  1 As 1.72
O  0.2742  0.3094  0.6108  1 As 1.71
O  0.3094  0.2742  0.1108  1 As 1.71
O  0.3307  0.9428  0.2300  1 As 1.75
O  0.3653  0.7951  0.6036  1 As 1.72
O  0.6347  0.2049  0.3964  1 As 1.72
O  0.6693  0.0572  0.7700  1 As 1.75
O  0.6906  0.7258  0.8892  1 As 1.71
O  0.7258  0.6906  0.3892  1 As 1.71
O  0.7951  0.3653  0.1036  1 As 1.72
O  0.9428  0.3307  0.7300  1 As 1.75


DFT (PBE) results for a relaxed structure of CsBiAsO4.

Summary:
size of the total moment	0.0	μB/f.u.
electronic total energy	-5.33	eV/atom
symmetry	No. 216
volume	203.5	Å³ per cell

Cell: 6.6021 6.6021 6.6021 Å, 60.00 60.00 60.00°
Last column: nearest neighbours and their distance in Å.
Fractional positions:
Cs  0.0000  0.0000  0.0000  12 O 3.91, 4 Bi 4.04
Bi  0.7500  0.7500  0.7500  4 O 2.23
As  0.5000  0.5000  0.5000  4 O 1.81
O  0.1641  0.6120  0.6120  1 As 1.81
O  0.6120  0.1641  0.6120  1 As 1.81
O  0.6120  0.6120  0.1641  1 As 1.81
O  0.6120  0.6120  0.6120  1 As 1.81


DFT (PBE) results for a relaxed structure of Cs2Bi2As2Pb5.

Summary:
energy of formation	-9	meV per atom
size of the total moment	0.0	μB/f.u.
electronic total energy	-3.40	eV/atom
symmetry	No. 139
volume	513.6	Å³ per cell

Cell: 17.8235 17.8235 17.8235 Å, 162.47 162.47 24.89°
Last column: nearest neighbours and their distance in Å.
Fractional positions:
Cs  0.2079  0.2079  0.0000  5 Bi 4.04-4.18, 4 Pb 4.17, 1 As 4.40
Cs  0.7921  0.7921  0.0000  5 Bi 4.04-4.18, 4 Pb 4.17, 1 As 4.40
Bi  0.3279  0.3279  0.0000  4 Pb 3.32
Bi  0.6721  0.6721  0.0000  4 Pb 3.32
As  0.0816  0.0816  0.0000  5 Pb 2.84-2.98
As  0.9184  0.9184  0.0000  5 Pb 2.84-2.98
Pb  0.0000  0.0000  0.0000  2 As 2.84
Pb  0.1171  0.6171  0.5000  2 As 2.98, 2 Bi 3.32
Pb  0.3829  0.8829  0.5000  2 As 2.98, 2 Bi 3.32
Pb  0.6171  0.1171  0.5000  2 As 2.98, 2 Bi 3.32
Pb  0.8829  0.3829  0.5000  2 As 2.98, 2 Bi 3.32


DFT (PBE) results for a relaxed structure of Cs2RbBiAs.

Summary:
energy of formation	-102	meV per atom
size of the total moment	0.0	μB/f.u.
electronic total energy	-2.34	eV/atom
symmetry	No. 123
volume	286.5	Å³ per cell

Cell: 7.0983 7.0983 5.6860 Å, 90.00 90.00 90.00°
Last column: nearest neighbours and their distance in Å.
Fractional positions:
Cs  0.0000  0.5000  0.0000  2 As 3.55
Cs  0.5000  0.0000  0.0000  2 As 3.55
Rb  0.0000  0.0000  0.5000  8 Cs 4.55, 4 Bi 5.02
Bi  0.5000  0.5000  0.5000  2 As 2.84
As  0.5000  0.5000  0.0000  2 Bi 2.84